Entry from Alexandria via LeMat-Bulk: crystalline Li2MgCo13O28 at its relaxed geometry (GGA+U).

Output
Space-group type: P1 (1)
Energy (eV/atom): -5.68

POSCAR file:
```
Li2MgCo13O28
1.0
-4.130 0.861 6.247
7.035 -3.499 2.507
2.875 8.030 -1.813
O Co Li Mg
28 13 2 1
Direct
0.087 0.990 0.814 O
0.553 0.937 0.260 O
0.398 0.496 0.701 O
0.791 0.575 0.621 O
0.601 0.509 0.309 O
0.696 0.361 0.832 O
0.448 0.065 0.742 O
0.522 0.267 0.538 O
0.128 0.643 0.541 O
0.845 0.796 0.401 O
0.269 0.074 0.111 O
0.154 0.201 0.596 O
0.984 0.216 0.967 O
0.662 0.717 0.101 O
0.914 0.009 0.186 O
0.019 0.784 0.032 O
0.304 0.638 0.162 O
0.622 0.149 0.043 O
0.478 0.739 0.463 O
0.057 0.425 0.757 O
0.872 0.353 0.456 O
0.947 0.574 0.244 O
0.215 0.425 0.380 O
0.203 0.864 0.328 O
0.732 0.928 0.891 O
0.331 0.285 0.896 O
0.377 0.850 0.957 O
0.793 0.133 0.670 O
0.575 0.716 0.287 Co
0.932 0.791 0.218 Co
0.065 0.203 0.777 Co
0.647 0.936 0.077 Co
0.715 0.147 0.861 Co
0.426 0.282 0.713 Co
0.860 0.574 0.430 Co
0.286 0.857 0.142 Co
0.355 0.068 0.927 Co
0.788 0.360 0.645 Co
0.001 0.000 0.000 Co
0.212 0.638 0.353 Co
0.137 0.421 0.565 Co
0.503 0.001 0.500 Li
0.347 0.565 0.925 Li
0.504 0.508 0.508 Mg
```